Here is a geometry-optimized Ba3Cl4 structure from Alexandria. Energies are from PBE-GGA.

**Total DFT energy (no corrections)**: -3.24 eV/atom
**Magnetization**: 0.7 μB per formula unit

abc: 7.1130 7.1130 5.6229
angles: 90.00 90.00 120.00
Space group P6/mmm (No. 191)
Inequivalent atoms, fractional coordinates:
Ba: 0.0000 0.5000 0.0000
Cl: 0.0000 0.0000 0.2489
Cl: 0.3333 0.6667 0.5000